Entry 1:
Material: Mg2FePdAu
Method: DFT, PBE
State: optimized geometry

Output
formation energy	0.635	eV/atom
D(E_F)	3.8	states/eV/f.u.
space-group type	No. 123

a = 4.7088 Å, b = 4.7088 Å, c = 4.5740 Å
α = 90.00°, β = 90.00°, γ = 90.00°
Fractional positions:
Mg: 0.0000 0.5000 0.0000
Mg: 0.5000 0.0000 0.0000
Fe: 0.0000 0.0000 0.0000
Pd: 0.5000 0.5000 0.5000
Au: 0.0000 0.0000 0.5000



Entry 2:
Material: MgFeRe2Au
Method: DFT, PBE
State: optimized geometry

Output
formation energy	2.314	eV/atom
D(E_F)	11.2	states/eV/f.u.
space-group type	No. 123

a = 4.5147 Å, b = 4.5147 Å, c = 4.1723 Å
α = 90.00°, β = 90.00°, γ = 90.00°
Fractional positions:
Mg: 0.0000 0.0000 0.0000
Fe: 0.0000 0.0000 0.5000
Re: 0.0000 0.5000 0.0000
Re: 0.5000 0.0000 0.0000
Au: 0.5000 0.5000 0.5000



Entry 3:
Material: Mn3FeAu
Method: DFT, PBE
State: optimized geometry

Output
formation energy	0.883	eV/atom
D(E_F)	7.2	states/eV/f.u.
space-group type	No. 221

a = 4.3144 Å, b = 4.3144 Å, c = 4.3144 Å
α = 90.00°, β = 90.00°, γ = 90.00°
Fractional positions:
Mn: 0.0000 0.0000 0.5000
Mn: 0.0000 0.5000 0.0000
Mn: 0.5000 0.0000 0.0000
Fe: 0.0000 0.0000 0.0000
Au: 0.5000 0.5000 0.5000



Volume values (in Å³ per cell) by entry order: 101, 85, 80.
Mass density values (in g/cm³) by entry order: 6.7, 12.7, 8.6.